No. 1
CoSn3W | PBE-GGA | relaxed

Calculated values
ΔH_f (0 K) in eV per atom: 1.105
Polymorph energy (0 for the lowest one) in eV/atom: 0.035
Total DFT energy (no corrections) in eV/atom: -5.3087

Unit cell a=4.7896 b=4.7896 c=4.7896 alpha=90.00 beta=90.00 gamma=90.00
With the nearest neighbours (Å) after each atom.
Fractional positions:
Sn 0.5000 0.0000 0.0000  2 Co 2.39
Sn 0.0000 0.0000 0.5000  2 Co 2.39
Sn 0.0000 0.5000 0.0000  2 Co 2.39
W 0.5000 0.5000 0.5000  12 Sn 3.39
Co 0.0000 0.0000 0.0000  6 Sn 2.39

***

No. 2
NpVS | PBE-GGA | relaxed

Calculated values
Formation energy without anion corrections in eV per atom: -0.69
Total DFT energy (no corrections) in eV/atom: -9.4204

Unit cell a=3.3720 b=7.4795 c=7.2113 alpha=90.00 beta=90.00 gamma=90.00
With the nearest neighbours (Å) after each atom.
Fractional positions:
S 0.7500 0.3512 0.2050  4 V 2.40-2.49
S 0.2500 0.8512 0.2950  4 V 2.40-2.49
S 0.2500 0.6488 0.7950  4 V 2.40-2.49
S 0.7500 0.1488 0.7050  4 V 2.40-2.49
V 0.2500 0.5639 0.1204  4 S 2.40-2.49, 2 V 2.60
V 0.7500 0.4361 0.8796  4 S 2.40-2.49, 2 V 2.60
V 0.2500 0.9361 0.6204  4 S 2.40-2.49, 2 V 2.60
V 0.7500 0.0639 0.3796  4 S 2.40-2.49, 2 V 2.60
Np 0.7500 0.8851 0.9794  2 Np 2.43
Np 0.2500 0.1149 0.0206  2 Np 2.43
Np 0.7500 0.6149 0.4794  2 Np 2.43
Np 0.2500 0.3851 0.5206  2 Np 2.43

***

No. 3
ZnCu2Si | PBE-GGA | relaxed

Calculated values
Formation energy without anion corrections in eV per atom: 0.07
Total DFT energy (no corrections) in eV/atom: -3.6569

Unit cell a=8.5516 b=8.5516 c=8.5516 alpha=18.11 beta=18.11 gamma=18.11
With the nearest neighbours (Å) after each atom.
Fractional positions:
Si 0.5056 0.5056 0.5056  3 Cu 2.51, 6 Si 2.69, 3 Zn 2.81
Cu 0.9976 0.9976 0.9976  9 Cu 2.56-2.69, 3 Zn 2.59
Cu 0.2505 0.2505 0.2505  3 Si 2.51, 9 Cu 2.56-2.69
Zn 0.7463 0.7463 0.7463  3 Cu 2.59, 6 Zn 2.69, 3 Si 2.81

***

It is found that the ρ values, taken in the order of the records, are 9.05, 11.69, 6.94 Mg/m³.
It is found that the total magnetic moment values, taken in the order of the records, are 0.00, 0.00, 0.00 μB per formula unit.